# PBE Ba2CaPt, optimized geometry
# * ΔE to the lowest computed polymorph: 179 meV/atom
# * E_form: -0.35 eV/atom
data_Ba2CaPt
_chemical_formula_sum 'Ba2 Ca1 Pt1'
_space_group_name_H-M_alt 'P m m m'
_space_group_IT_number 47
_space_group_name_Hall '-P 2 2'
_cell_length_a 3.927
_cell_length_b 3.956
_cell_length_c 10.508
_cell_angle_alpha 90.00
_cell_angle_beta 90.00
_cell_angle_gamma 90.00
loop_
_atom_site_label
_atom_site_fract_x
_atom_site_fract_y
_atom_site_fract_z
_atom_site_occupancy
Ba1 0.000 0.000 0.173 1
Ca1 0.500 0.500 0.500 1
Pt1 0.500 0.500 0.000 1

=====

# PBE K2YAlO4, optimized geometry
# * raw formation energy: -1705 kJ/mol of formula units
data_K2YAlO4
_chemical_formula_sum 'K16 Y8 Al8 O32'
_space_group_name_H-M_alt 'F d d d'
_space_group_IT_number 70
_cell_length_a 5.584
_cell_length_b 12.385
_cell_length_c 22.667
_cell_angle_alpha 90.00
_cell_angle_beta 90.00
_cell_angle_gamma 90.00
loop_
_space_group_symop_operation_xyz
'x,y,z'
'-x,-y,-z'
'-x+1/4,-y+1/4,z'
'x+1/4,y+1/4,-z'
'x,-y+1/4,-z+1/4'
'-x,y+1/4,z+1/4'
'-x+1/4,y,-z+1/4'
'x+1/4,-y,z+1/4'
'x,y+1/2,z+1/2'
'-x,-y+1/2,-z+1/2'
'-x+1/4,-y+3/4,z+1/2'
'x+1/4,y+3/4,-z+1/2'
'x,-y+3/4,-z+3/4'
'-x,y+3/4,z+3/4'
'-x+1/4,y+1/2,-z+3/4'
'x+1/4,-y+1/2,z+3/4'
'x+1/2,y,z+1/2'
'-x+1/2,-y,-z+1/2'
'-x+3/4,-y+1/4,z+1/2'
'x+3/4,y+1/4,-z+1/2'
'x+1/2,-y+1/4,-z+3/4'
'-x+1/2,y+1/4,z+3/4'
'-x+3/4,y,-z+3/4'
'x+3/4,-y,z+3/4'
'x+1/2,y+1/2,z'
'-x+1/2,-y+1/2,-z'
'-x+3/4,-y+3/4,z'
'x+3/4,y+3/4,-z'
'x+1/2,-y+3/4,-z+1/4'
'-x+1/2,y+3/4,z+1/4'
'-x+3/4,y+1/2,-z+1/4'
'x+3/4,-y+1/2,z+1/4'
loop_
_atom_site_label
_atom_site_fract_x
_atom_site_fract_y
_atom_site_fract_z
_atom_site_occupancy
K1 0.125 0.125 0.321 1
Y1 0.125 0.125 0.125 1
Al1 0.125 0.125 0.625 1
O1 0.083 0.285 0.838 1

=====

# PBE MnCr2As, optimized geometry
# * E_form: 0.31 eV/atom
data_MnCr2As
_chemical_formula_sum 'Mn3 Cr6 As3'
_space_group_name_H-M_alt 'R -3 m'
_space_group_IT_number 166
_space_group_name_Hall '-R 3 2"'
_cell_length_a 2.7386
_cell_length_b 2.7386
_cell_length_c 23.6056
_cell_angle_alpha 90.00
_cell_angle_beta 90.00
_cell_angle_gamma 120.00
loop_
_atom_site_label
_atom_site_fract_x
_atom_site_fract_y
_atom_site_fract_z
_atom_site_occupancy
Mn1 0.0000 0.0000 0.0000 1
Cr1 0.0000 0.0000 0.2534 1
As1 0.0000 0.0000 0.5000 1

=====

# PBE MgCd12Hg6, optimized geometry
# * ΔE to the lowest computed polymorph: 8 meV/atom
# * E_form: 0.02 eV/atom
data_MgCd12Hg6
_chemical_formula_sum 'Mg3 Cd36 Hg18'
_space_group_name_H-M_alt 'R -3'
_space_group_IT_number 148
_space_group_name_Hall '-R 3'
_cell_length_a 10.3583
_cell_length_b 10.3583
_cell_length_c 14.7814
_cell_angle_alpha 90.00
_cell_angle_beta 90.00
_cell_angle_gamma 120.00
loop_
_atom_site_label
_atom_site_fract_x
_atom_site_fract_y
_atom_site_fract_z
_atom_site_occupancy
Mg1 0.0000 0.0000 0.0000 1
Cd1 0.0826 0.8709 0.4069 1
Cd2 0.0849 0.1983 0.7735 1
Hg1 0.0499 0.4820 0.7450 1

=====

# PBE Mg2TiO4, optimized geometry
# * ΔE to the lowest computed polymorph: 117 meV/atom
# * raw formation energy: -1869 kJ/mol of formula units
data_Mg2TiO4
_chemical_formula_sum 'Mg4 Ti2 O8'
_space_group_name_H-M_alt 'C 1 2/m 1'
_space_group_IT_number 12
_space_group_name_Hall '-C 2y'
_cell_length_a 10.604
_cell_length_b 3.036
_cell_length_c 5.209
_cell_angle_alpha 90.00
_cell_angle_beta 117.45
_cell_angle_gamma 90.00
loop_
_atom_site_label
_atom_site_fract_x
_atom_site_fract_y
_atom_site_fract_z
_atom_site_occupancy
Mg1 0.197 0.000 0.181 1
Ti1 0.000 0.500 0.500 1
O1 0.122 0.500 0.908 1
O2 0.125 0.000 0.480 1

=====

# PBE TbPr2ErTh, optimized geometry
# * E_form: 0.33 eV/atom
data_TbPr2ErTh
_chemical_formula_sum 'Tb2 Pr4 Er2 Th2'
_space_group_name_H-M_alt 'P 1 2/c 1'
_space_group_IT_number 13
_space_group_name_Hall '-P 2yc'
_cell_length_a 8.574
_cell_length_b 6.493
_cell_length_c 6.339
_cell_angle_alpha 90.00
_cell_angle_beta 96.01
_cell_angle_gamma 90.00
loop_
_atom_site_label
_atom_site_fract_x
_atom_site_fract_y
_atom_site_fract_z
_atom_site_occupancy
Tb1 0.000 0.054 0.250 1
Pr1 0.311 0.197 0.716 1
Er1 0.500 0.331 0.250 1
Th1 0.000 0.500 0.000 1

=====

# PBE La4Co2Sn, optimized geometry
# * E_form: -0.29 eV/atom
data_La4Co2Sn
_chemical_formula_sum 'La8 Co4 Sn2'
_space_group_name_H-M_alt 'P 1'
_space_group_IT_number 1
_space_group_name_Hall 'P 1'
_cell_length_a 6.966
_cell_length_b 7.106
_cell_length_c 8.941
_cell_angle_alpha 107.03
_cell_angle_beta 106.46
_cell_angle_gamma 105.52
loop_
_atom_site_label
_atom_site_fract_x
_atom_site_fract_y
_atom_site_fract_z
_atom_site_occupancy
La1 0.000 0.000 0.000 1
La2 0.004 0.733 0.587 1
La3 0.079 0.308 0.737 1
La4 0.251 0.607 0.214 1
La5 0.481 0.555 0.599 1
La6 0.544 0.118 0.725 1
La7 0.662 0.161 0.324 1
La8 0.699 0.555 0.110 1
Co1 0.033 0.376 0.351 1
Co2 0.344 0.188 0.973 1
Co3 0.689 0.846 0.494 1
Co4 0.859 0.515 0.832 1
Sn1 0.127 0.042 0.383 1
Sn2 0.406 0.821 0.941 1

=====

# PBE MnGa4Co5, optimized geometry
# * E_form: -0.24 eV/atom
data_MnGa4Co5
_chemical_formula_sum 'Mn1 Ga4 Co5'
_space_group_name_H-M_alt 'P 4/m m m'
_space_group_IT_number 123
_space_group_name_Hall '-P 4 2'
_cell_length_a 2.890
_cell_length_b 2.890
_cell_length_c 14.281
_cell_angle_alpha 90.00
_cell_angle_beta 90.00
_cell_angle_gamma 90.00
loop_
_atom_site_label
_atom_site_fract_x
_atom_site_fract_y
_atom_site_fract_z
_atom_site_occupancy
Mn1 0.000 0.000 0.000 1
Ga1 0.000 0.000 0.196 1
Ga2 0.000 0.000 0.399 1
Co1 0.500 0.500 0.099 1
Co2 0.500 0.500 0.300 1
Co3 0.500 0.500 0.500 1

=====

# PBE Rb12Sb3Cl5, optimized geometry
# * raw formation energy: -2053 kJ/mol of formula units
data_Rb12Sb3Cl5
_chemical_formula_sum 'Rb96 Sb24 Cl40'
_space_group_name_H-M_alt 'I a -3 d'
_space_group_IT_number 230
_space_group_name_Hall '-I 4bd 2c 3'
_cell_length_a 20.289
_cell_length_b 20.289
_cell_length_c 20.289
_cell_angle_alpha 90.00
_cell_angle_beta 90.00
_cell_angle_gamma 90.00
loop_
_atom_site_label
_atom_site_fract_x
_atom_site_fract_y
_atom_site_fract_z
_atom_site_occupancy
Rb1 0.021 0.064 0.653 1
Sb1 0.000 0.250 0.125 1
Cl1 0.000 0.000 0.000 1
Cl2 0.000 0.250 0.375 1

=====

# PBE KNi2Sb, optimized geometry
# * raw formation energy: 114 kJ/mol of formula units
data_KNi2Sb
_chemical_formula_sum 'K1 Ni2 Sb1'
_space_group_name_H-M_alt 'P 1 2/m 1'
_space_group_IT_number 10
_space_group_name_Hall '-P 2y'
_cell_length_a 3.158
_cell_length_b 4.266
_cell_length_c 6.869
_cell_angle_alpha 90.00
_cell_angle_beta 96.36
_cell_angle_gamma 90.00
loop_
_atom_site_label
_atom_site_fract_x
_atom_site_fract_y
_atom_site_fract_z
_atom_site_occupancy
K1 0.000 0.000 0.000 1
Ni1 0.262 0.500 0.639 1
Sb1 0.500 0.000 0.500 1

=====

# PBE MgH6N2Cl2, optimized geometry
# * electronic total energy: -102.9 eV for the cell shown
data_MgH6N2Cl2
_chemical_formula_sum 'Mg2 H12 N4 Cl4'
_space_group_name_H-M_alt 'C 1 2 1'
_space_group_IT_number 5
_space_group_name_Hall 'C 2y'
_cell_length_a 8.372
_cell_length_b 8.352
_cell_length_c 3.807
_cell_angle_alpha 90.00
_cell_angle_beta 95.22
_cell_angle_gamma 90.00
loop_
_atom_site_label
_atom_site_fract_x
_atom_site_fract_y
_atom_site_fract_z
_atom_site_occupancy
Mg1 0.000 0.000 0.000 1
H1 0.189 0.598 0.829 1
H2 0.190 0.401 0.826 1
H3 0.196 0.499 0.199 1
N1 0.240 0.500 0.956 1
Cl1 0.000 0.209 0.500 1
Cl2 0.000 0.791 0.500 1

=====

# PBE UCdPdPt, optimized geometry
# * E_form: -0.41 eV/atom
data_UCdPdPt
_chemical_formula_sum 'U4 Cd4 Pd4 Pt4'
_space_group_name_H-M_alt 'F -4 3 m'
_space_group_IT_number 216
_space_group_name_Hall 'F -4 2 3'
_cell_length_a 6.811
_cell_length_b 6.811
_cell_length_c 6.811
_cell_angle_alpha 90.00
_cell_angle_beta 90.00
_cell_angle_gamma 90.00
loop_
_atom_site_label
_atom_site_fract_x
_atom_site_fract_y
_atom_site_fract_z
_atom_site_occupancy
U1 0.000 0.000 0.000 1
Cd1 0.000 0.000 0.500 1
Pd1 0.250 0.250 0.250 1
Pt1 0.250 0.250 0.750 1

=====

# PBE PmTm3Sc, optimized geometry
# * ΔE to the lowest computed polymorph: 3 meV/atom
# * E_form: 0.04 eV/atom
data_PmTm3Sc
_chemical_formula_sum 'Pm3 Tm9 Sc3'
_space_group_name_H-M_alt 'R 3 m'
_space_group_IT_number 160
_space_group_name_Hall 'R 3 -2"'
_cell_length_a 3.4887
_cell_length_b 3.4887
_cell_length_c 42.2190
_cell_angle_alpha 90.00
_cell_angle_beta 90.00
_cell_angle_gamma 120.00
loop_
_atom_site_label
_atom_site_fract_x
_atom_site_fract_y
_atom_site_fract_z
_atom_site_occupancy
Pm1 0.0000 0.0000 0.0000 1
Tm1 0.0000 0.0000 0.1969 1
Tm2 0.0000 0.0000 0.4031 1
Tm3 0.0000 0.0000 0.5976 1
Sc1 0.0000 0.0000 0.7999 1

=====

# PBE ScCuBr, optimized geometry
# * ΔE to the lowest computed polymorph: 378 meV/atom
# * raw formation energy: -129 kJ/mol of formula units
data_ScCuBr
_chemical_formula_sum 'Sc1 Cu1 Br1'
_space_group_name_H-M_alt 'P 3 m 1'
_space_group_IT_number 156
_space_group_name_Hall 'P 3 -2"'
_cell_length_a 3.5690
_cell_length_b 3.5690
_cell_length_c 6.4887
_cell_angle_alpha 90.00
_cell_angle_beta 90.00
_cell_angle_gamma 120.00
loop_
_atom_site_label
_atom_site_fract_x
_atom_site_fract_y
_atom_site_fract_z
_atom_site_occupancy
Sc1 0.0000 0.0000 0.0000 1
Cu1 0.6667 0.3333 0.7410 1
Br1 0.3333 0.6667 0.2808 1

=====

# PBE YErLu2, optimized geometry
# * ΔE to the lowest computed polymorph: 2 meV/atom
# * E_form: 0.03 eV/atom
data_YErLu2
_chemical_formula_sum 'Y1 Er1 Lu2'
_space_group_name_H-M_alt 'P 4/m m m'
_space_group_IT_number 123
_space_group_name_Hall '-P 4 2'
_cell_length_a 4.956
_cell_length_b 4.956
_cell_length_c 4.940
_cell_angle_alpha 90.00
_cell_angle_beta 90.00
_cell_angle_gamma 90.00
loop_
_atom_site_label
_atom_site_fract_x
_atom_site_fract_y
_atom_site_fract_z
_atom_site_occupancy
Y1 0.000 0.000 0.000 1
Er1 0.500 0.500 0.000 1
Lu1 0.000 0.500 0.500 1

=====

# PBE Tl2GaSnO6, optimized geometry
# * raw formation energy: -983 kJ/mol of formula units
data_Tl2GaSnO6
_chemical_formula_sum 'Tl2 Ga1 Sn1 O6'
_space_group_name_H-M_alt 'P 4 m m'
_space_group_IT_number 99
_space_group_name_Hall 'P 4 -2'
_cell_length_a 5.329
_cell_length_b 5.329
_cell_length_c 5.038
_cell_angle_alpha 90.00
_cell_angle_beta 90.00
_cell_angle_gamma 90.00
loop_
_atom_site_label
_atom_site_fract_x
_atom_site_fract_y
_atom_site_fract_z
_atom_site_occupancy
Tl1 0.000 0.500 0.000 1
Ga1 0.000 0.000 0.566 1
Sn1 0.500 0.500 0.565 1
O1 0.000 0.000 0.196 1
O2 0.245 0.245 0.707 1
O3 0.500 0.500 0.169 1

=====

# PBE La8Rh3Br3O, optimized geometry
# * raw formation energy: -1726 kJ/mol of formula units
data_La8Rh3Br3O
_chemical_formula_sum 'La16 Rh6 Br6 O2'
_space_group_name_H-M_alt 'C 1 2/m 1'
_space_group_IT_number 12
_space_group_name_Hall '-C 2y'
_cell_length_a 14.232
_cell_length_b 8.198
_cell_length_c 9.148
_cell_angle_alpha 90.00
_cell_angle_beta 121.23
_cell_angle_gamma 90.00
loop_
_atom_site_label
_atom_site_fract_x
_atom_site_fract_y
_atom_site_fract_z
_atom_site_occupancy
La1 0.014 0.235 0.307 1
La2 0.222 0.000 0.694 1
La3 0.233 0.500 0.699 1
Rh1 0.000 0.500 0.500 1
Rh2 0.250 0.250 0.500 1
Br1 0.000 0.000 0.000 1
Br2 0.250 0.250 0.000 1
O1 0.000 0.000 0.500 1

=====

# PBE MgPH, optimized geometry
# * ΔE to the lowest computed polymorph: 108 meV/atom
data_MgPH
_chemical_formula_sum 'Mg2 P2 H2'
_space_group_name_H-M_alt 'C 1 m 1'
_space_group_IT_number 8
_space_group_name_Hall 'C -2y'
_cell_length_a 6.450
_cell_length_b 4.753
_cell_length_c 4.333
_cell_angle_alpha 90.00
_cell_angle_beta 132.10
_cell_angle_gamma 90.00
loop_
_atom_site_label
_atom_site_fract_x
_atom_site_fract_y
_atom_site_fract_z
_atom_site_occupancy
Mg1 0.000 0.000 0.000 1
P1 0.000 0.500 0.759 1
H1 0.001 0.500 0.427 1

=====

# PBE TbPr2Zn12Ni3, optimized geometry
# * E_form: 0.07 eV/atom
data_TbPr2Zn12Ni3
_chemical_formula_sum 'Tb3 Pr6 Zn36 Ni9'
_space_group_name_H-M_alt 'R -3 m'
_space_group_IT_number 166
_space_group_name_Hall '-R 3 2"'
_cell_length_a 7.1882
_cell_length_b 7.1882
_cell_length_c 24.9729
_cell_angle_alpha 90.00
_cell_angle_beta 90.00
_cell_angle_gamma 120.00
loop_
_atom_site_label
_atom_site_fract_x
_atom_site_fract_y
_atom_site_fract_z
_atom_site_occupancy
Tb1 0.0000 0.0000 0.0000 1
Pr1 0.0000 0.0000 0.3736 1
Zn1 0.0636 0.5318 0.7791 1
Zn2 0.0939 0.5469 0.4012 1
Ni1 0.0000 0.5000 0.5000 1

=====

# PBE YSiOs2, optimized geometry
# * raw formation energy: -18 kJ/mol of formula units
data_YSiOs2
_chemical_formula_sum 'Y1 Si1 Os2'
_space_group_name_H-M_alt 'P 4 m m'
_space_group_IT_number 99
_space_group_name_Hall 'P 4 -2'
_cell_length_a 2.963
_cell_length_b 2.963
_cell_length_c 7.593
_cell_angle_alpha 90.00
_cell_angle_beta 90.00
_cell_angle_gamma 90.00
loop_
_atom_site_label
_atom_site_fract_x
_atom_site_fract_y
_atom_site_fract_z
_atom_site_occupancy
Y1 0.000 0.000 0.000 1
Si1 0.500 0.500 0.704 1
Os1 0.000 0.000 0.519 1
Os2 0.500 0.500 0.290 1

=====

Number 1: magnetic moment 0.001 μB per atom. Number 2: magnetic moment 0.000 μB per atom. Number 3: magnetic moment 0.125 μB per atom. Number 4: magnetic moment 0.000 μB per atom. Number 5: magnetic moment 0.000 μB per atom. Number 6: magnetic moment 0.000 μB per atom. Number 7: magnetic moment 0.000 μB per atom. Number 8: magnetic moment 0.490 μB per atom. Number 9: magnetic moment 0.109 μB per atom. Number 10: magnetic moment 0.000 μB per atom. Number 11: magnetic moment 0.000 μB per atom. Number 12: magnetic moment 0.528 μB per atom. Number 13: magnetic moment 0.000 μB per atom. Number 14: magnetic moment 0.005 μB per atom. Number 15: magnetic moment 0.000 μB per atom. Number 16: magnetic moment 0.000 μB per atom. Number 17: magnetic moment 0.024 μB per atom. Number 18: magnetic moment 0.000 μB per atom. Number 19: magnetic moment 0.000 μB per atom. Number 20: magnetic moment 0.000 μB per atom.